This record from Alexandria describes an optimized crystal structure of Dy4Ho9Pu. The functional is PBE.

Cell lengths 9.6555, 9.6555, 10.9540 Å; angles 90.00, 90.00, 120.00 degrees
With the nearest neighbours (Å) after each atom.
Fractional coordinates of all 28 atoms:
Dy 0.0000 0.0000 0.0000  6 Dy 3.33, 6 Ho 3.53
Dy 0.0000 0.0000 0.5000  6 Dy 3.33, 6 Ho 3.53
Dy 0.1131 0.2261 0.2500  4 Ho 3.21-3.49, 4 Dy 3.28-3.33
Dy 0.1131 0.8869 0.2500  4 Ho 3.21-3.49, 4 Dy 3.28-3.33
Dy 0.2261 0.1131 0.7500  4 Ho 3.21-3.49, 4 Dy 3.28-3.33
Dy 0.7739 0.8869 0.2500  4 Ho 3.21-3.49, 4 Dy 3.28-3.33
Dy 0.8869 0.1131 0.7500  4 Ho 3.21-3.49, 4 Dy 3.28-3.33
Dy 0.8869 0.7739 0.7500  4 Ho 3.21-3.49, 4 Dy 3.28-3.33
Ho 0.0739 0.5369 0.2500  2 Dy 3.21, 1 Pu 3.41
Ho 0.2098 0.4195 0.5326  1 Pu 3.15, 2 Dy 3.49-3.53
Ho 0.2098 0.4195 0.9674  1 Pu 3.15, 2 Dy 3.49-3.53
Ho 0.2098 0.7902 0.5326  1 Pu 3.15, 2 Dy 3.49-3.53
Ho 0.2098 0.7902 0.9674  1 Pu 3.15, 2 Dy 3.49-3.53
Ho 0.4195 0.2098 0.0326  1 Pu 3.15, 2 Dy 3.49-3.53
Ho 0.4195 0.2098 0.4674  1 Pu 3.15, 2 Dy 3.49-3.53
Ho 0.4631 0.5369 0.2500  2 Dy 3.21, 1 Pu 3.41
Ho 0.4631 0.9261 0.2500  2 Dy 3.21, 1 Pu 3.41
Ho 0.5369 0.0739 0.7500  2 Dy 3.21, 1 Pu 3.41
Ho 0.5369 0.4631 0.7500  2 Dy 3.21, 1 Pu 3.41
Ho 0.5805 0.7902 0.5326  1 Pu 3.15, 2 Dy 3.49-3.53
Ho 0.5805 0.7902 0.9674  1 Pu 3.15, 2 Dy 3.49-3.53
Ho 0.7902 0.2098 0.0326  1 Pu 3.15, 2 Dy 3.49-3.53
Ho 0.7902 0.2098 0.4674  1 Pu 3.15, 2 Dy 3.49-3.53
Ho 0.7902 0.5805 0.0326  1 Pu 3.15, 2 Dy 3.49-3.53
Ho 0.7902 0.5805 0.4674  1 Pu 3.15, 2 Dy 3.49-3.53
Ho 0.9261 0.4631 0.7500  2 Dy 3.21, 1 Pu 3.41
Pu 0.3333 0.6667 0.7500  9 Ho 3.15-3.41
Pu 0.6667 0.3333 0.2500  9 Ho 3.15-3.41

Values from the calculation:
total DFT energy (no corrections) = -5.0908 eV per atom
crystal system = hexagonal
volume = 884.41 Å³/cell
calculated formation energy = 0.191 eV per atom

This record from Alexandria describes an optimized crystal structure of Dy5Ho8Pu. The functional is PBE.

Cell lengths 8.3414, 8.3414, 8.3414 Å; angles 107.33, 107.33, 113.85 degrees
With the nearest neighbours (Å) after each atom.
Fractional coordinates of all 14 atoms:
Dy 0.0000 0.0000 0.0000  4 Ho 3.40
Dy 0.2115 0.2961 0.7610  5 Ho 3.21-3.59, 3 Dy 3.41-3.54
Dy 0.5351 0.4505 0.2390  5 Ho 3.21-3.59, 3 Dy 3.41-3.54
Dy 0.5495 0.7885 0.0846  5 Ho 3.21-3.59, 3 Dy 3.41-3.54
Dy 0.7039 0.4649 0.9154  5 Ho 3.21-3.59, 3 Dy 3.41-3.54
Ho 0.1385 0.5338 0.0930  1 Pu 2.96, 3 Dy 3.21-3.27
Ho 0.3976 0.0920 0.3713  1 Pu 3.25, 3 Ho 3.26-3.51, 2 Dy 3.38-3.40
Ho 0.4408 0.0455 0.9070  1 Pu 2.96, 3 Dy 3.21-3.27
Ho 0.4662 0.5592 0.6047  1 Pu 2.96, 3 Dy 3.21-3.27
Ho 0.7208 0.0263 0.6287  1 Pu 3.25, 3 Ho 3.26-3.51, 2 Dy 3.38-3.40
Ho 0.9080 0.2792 0.3056  1 Pu 3.25, 3 Ho 3.26-3.51, 2 Dy 3.38-3.40
Ho 0.9545 0.8615 0.3953  1 Pu 2.96, 3 Dy 3.21-3.27
Ho 0.9737 0.6024 0.6944  1 Pu 3.25, 3 Ho 3.26-3.51, 2 Dy 3.38-3.40
Pu 0.2500 0.7500 0.5000  8 Ho 2.96-3.25

Values from the calculation:
total DFT energy (no corrections) = -4.9893 eV per atom
crystal system = tetragonal
volume = 444.81 Å³/cell
calculated formation energy = 0.294 eV per atom

This record from Alexandria describes an optimized crystal structure of Dy3HoPu. The functional is PBE.

Cell lengths 6.3253, 6.3307, 8.6667 Å; angles 108.56, 108.44, 94.13 degrees
With the nearest neighbours (Å) after each atom.
Fractional coordinates of all 10 atoms:
Dy 0.1152 0.2488 0.2843  2 Pu 3.19-3.39, 4 Dy 3.35-3.54, 2 Ho 3.43-3.56
Dy 0.2517 0.3850 0.7153  2 Pu 3.19-3.39, 4 Dy 3.35-3.54, 2 Ho 3.43-3.56
Dy 0.3345 0.8344 0.5675  7 Dy 3.45-3.61, 2 Ho 3.51-3.58, 2 Pu 3.61-3.62
Dy 0.6655 0.1656 0.4325  7 Dy 3.45-3.61, 2 Ho 3.51-3.58, 2 Pu 3.61-3.62
Dy 0.7483 0.6150 0.2847  2 Pu 3.19-3.39, 4 Dy 3.35-3.54, 2 Ho 3.43-3.56
Dy 0.8848 0.7512 0.7157  2 Pu 3.19-3.39, 4 Dy 3.35-3.54, 2 Ho 3.43-3.56
Ho 0.2102 0.7104 0.1199  1 Ho 3.23, 2 Pu 3.41-3.42, 6 Dy 3.43-3.58
Ho 0.7898 0.2896 0.8801  1 Ho 3.23, 2 Pu 3.41-3.42, 6 Dy 3.43-3.58
Pu 0.3498 0.1500 0.9996  1 Pu 2.78
Pu 0.6502 0.8500 0.0004  1 Pu 2.78

Values from the calculation:
total DFT energy (no corrections) = -6.4014 eV per atom
crystal system = triclinic
volume = 306.29 Å³/cell
calculated formation energy = 0.142 eV per atom

This record from Alexandria describes an optimized crystal structure of Dy2Ho8Pu. The functional is PBE.

Cell lengths 9.3062, 9.3062, 7.8596 Å; angles 104.69, 104.69, 30.93 degrees
With the nearest neighbours (Å) after each atom.
Fractional coordinates of all 11 atoms:
Dy 0.2271 0.2271 0.1359  2 Dy 3.51, 10 Ho 3.52-3.55
Dy 0.7729 0.7729 0.8641  2 Dy 3.51, 10 Ho 3.52-3.55
Ho 0.0443 0.0443 0.2303  9 Ho 3.48-3.55, 2 Pu 3.49, 1 Dy 3.55
Ho 0.1355 0.1355 0.6793  7 Ho 3.48-3.56, 2 Pu 3.50, 3 Dy 3.53
Ho 0.3203 0.3203 0.5919  1 Pu 3.48, 8 Ho 3.50-3.56, 3 Dy 3.52-3.53
Ho 0.4098 0.4098 0.0496  1 Pu 3.48, 8 Ho 3.49-3.55, 3 Dy 3.52-3.53
Ho 0.5902 0.5902 0.9504  1 Pu 3.48, 8 Ho 3.49-3.55, 3 Dy 3.52-3.53
Ho 0.6797 0.6797 0.4081  1 Pu 3.48, 8 Ho 3.50-3.56, 3 Dy 3.52-3.53
Ho 0.8645 0.8645 0.3207  7 Ho 3.48-3.56, 2 Pu 3.50, 3 Dy 3.53
Ho 0.9557 0.9557 0.7697  9 Ho 3.48-3.55, 2 Pu 3.49, 1 Dy 3.55
Pu 0.5000 0.5000 0.5000  12 Ho 3.48-3.50

Values from the calculation:
total DFT energy (no corrections) = -5.4251 eV per atom
polymorph energy (0 for the lowest one) = 0 meV/atom
crystal system = monoclinic
volume = 337.53 Å³/cell
calculated formation energy = 0.044 eV per atom

This record from Alexandria describes an optimized crystal structure of Dy2HoPu. The functional is PBE.

Cell lengths 11.4905, 11.4905, 11.4905 Å; angles 17.68, 17.68, 17.68 degrees
With the nearest neighbours (Å) after each atom.
Fractional coordinates of all 4 atoms:
Dy 0.0000 0.0000 0.0000  3 Pu 3.45, 3 Ho 3.49, 6 Dy 3.53
Dy 0.1682 0.1682 0.1682  3 Pu 3.48, 3 Ho 3.52, 6 Dy 3.53
Ho 0.7503 0.7503 0.7503  6 Dy 3.49-3.52, 6 Ho 3.53
Pu 0.5845 0.5845 0.5845  6 Dy 3.45-3.48, 6 Pu 3.53

Values from the calculation:
total DFT energy (no corrections) = -6.9359 eV per atom
polymorph energy (0 for the lowest one) = 0 meV/atom
crystal system = trigonal
volume = 122.13 Å³/cell
calculated formation energy = 0.093 eV per atom

This record from Alexandria describes an optimized crystal structure of Dy12Ho7Pu. The functional is PBE.

Cell lengths 9.7512, 9.7512, 9.7512 Å; angles 109.47, 109.47, 109.47 degrees
With the nearest neighbours (Å) after each atom.
Fractional coordinates of all 20 atoms:
Dy 0.0000 0.2506 0.7494  2 Ho 2.81
Dy 0.0000 0.7494 0.2506  2 Ho 2.81
Dy 0.2506 0.0000 0.7494  2 Ho 2.81
Dy 0.2506 0.2506 0.5012  2 Ho 2.81
Dy 0.2506 0.5012 0.2506  2 Ho 2.81
Dy 0.2506 0.7494 0.0000  2 Ho 2.81
Dy 0.4988 0.7494 0.7494  2 Ho 2.81
Dy 0.5012 0.2506 0.2506  2 Ho 2.81
Dy 0.7494 0.0000 0.2506  2 Ho 2.81
Dy 0.7494 0.2506 0.0000  2 Ho 2.81
Dy 0.7494 0.4988 0.7494  2 Ho 2.81
Dy 0.7494 0.7494 0.4988  2 Ho 2.81
Ho 0.0000 0.0000 0.5000  6 Dy 2.81
Ho 0.0000 0.5000 0.0000  6 Dy 2.81
Ho 0.0000 0.5000 0.5000  12 Dy 3.97-3.98
Ho 0.5000 0.0000 0.0000  6 Dy 2.81
Ho 0.5000 0.0000 0.5000  12 Dy 3.97-3.98
Ho 0.5000 0.5000 0.0000  12 Dy 3.97-3.98
Ho 0.5000 0.5000 0.5000  6 Dy 2.81
Pu 0.0000 0.0000 0.0000  12 Dy 3.99

Values from the calculation:
total DFT energy (no corrections) = -4.3299 eV per atom
polymorph energy (0 for the lowest one) = 639 meV/atom
crystal system = cubic
volume = 713.76 Å³/cell
calculated formation energy = 0.750 eV per atom

This record from Alexandria describes an optimized crystal structure of Dy5Ho2Pu. The functional is PBE.

Cell lengths 6.7279, 6.7279, 11.2602 Å; angles 90.72, 90.72, 77.24 degrees
With the nearest neighbours (Å) after each atom.
Fractional coordinates of all 16 atoms:
Dy 0.0173 0.2517 0.5230  1 Pu 3.03, 1 Ho 3.33, 2 Dy 3.34-3.39
Dy 0.1918 0.8082 0.7500  1 Pu 3.33, 6 Dy 3.42-3.50
Dy 0.2517 0.0173 0.0230  1 Pu 3.03, 1 Ho 3.33, 2 Dy 3.34-3.39
Dy 0.2762 0.3142 0.2654  1 Pu 3.17, 2 Ho 3.38-3.51, 4 Dy 3.39-3.50
Dy 0.3142 0.2762 0.7654  1 Pu 3.17, 2 Ho 3.38-3.51, 4 Dy 3.39-3.50
Dy 0.6858 0.7238 0.2346  1 Pu 3.17, 2 Ho 3.38-3.51, 4 Dy 3.39-3.50
Dy 0.7238 0.6858 0.7346  1 Pu 3.17, 2 Ho 3.38-3.51, 4 Dy 3.39-3.50
Dy 0.7483 0.9827 0.9770  1 Pu 3.03, 1 Ho 3.33, 2 Dy 3.34-3.39
Dy 0.8082 0.1918 0.2500  1 Pu 3.33, 6 Dy 3.42-3.50
Dy 0.9827 0.7483 0.4770  1 Pu 3.03, 1 Ho 3.33, 2 Dy 3.34-3.39
Ho 0.0000 0.5000 0.0000  6 Dy 3.33-3.59, 2 Ho 3.36
Ho 0.5000 0.0000 0.5000  6 Dy 3.33-3.59, 2 Ho 3.36
Ho 0.5000 0.5000 0.0000  2 Ho 3.36, 6 Dy 3.38-3.71, 2 Pu 3.75
Ho 0.5000 0.5000 0.5000  2 Ho 3.36, 6 Dy 3.38-3.71, 2 Pu 3.75
Pu 0.2043 0.7957 0.2500  5 Dy 3.03-3.33
Pu 0.7957 0.2043 0.7500  5 Dy 3.03-3.33

Values from the calculation:
total DFT energy (no corrections) = -5.6241 eV per atom
crystal system = monoclinic
volume = 497.05 Å³/cell
calculated formation energy = 0.188 eV per atom

This record from Alexandria describes an optimized crystal structure of DyHo14Pu. The functional is PBE.

Cell lengths 11.1759, 7.1729, 7.1729 Å; angles 60.04, 90.00, 90.00 degrees
With the nearest neighbours (Å) after each atom.
Fractional coordinates of all 16 atoms:
Dy 0.0000 0.0000 0.0000  10 Ho 3.47-3.59, 2 Pu 3.59
Ho 0.0000 0.9999 0.4992  8 Ho 3.46-3.59, 2 Dy 3.58-3.59, 2 Pu 3.58-3.59
Ho 0.0000 0.4992 0.9999  8 Ho 3.46-3.59, 2 Dy 3.58-3.59, 2 Pu 3.58-3.59
Ho 0.2480 0.3345 0.3345  1 Pu 3.45, 11 Ho 3.46-3.62
Ho 0.2482 0.3346 0.8296  1 Pu 3.45, 1 Dy 3.47, 10 Ho 3.47-3.62
Ho 0.2482 0.8296 0.3346  1 Pu 3.45, 1 Dy 3.47, 10 Ho 3.47-3.62
Ho 0.2517 0.8328 0.8328  11 Ho 3.46-3.59, 1 Dy 3.50
Ho 0.5000 0.9995 0.9995  12 Ho 3.46-3.59
Ho 0.5000 0.9995 0.4997  12 Ho 3.46-3.59
Ho 0.5000 0.4997 0.9995  12 Ho 3.46-3.59
Ho 0.5000 0.4997 0.4997  12 Ho 3.48-3.59
Ho 0.7483 0.8328 0.8328  11 Ho 3.46-3.59, 1 Dy 3.50
Ho 0.7520 0.3345 0.3345  1 Pu 3.45, 11 Ho 3.46-3.62
Ho 0.7518 0.3346 0.8296  1 Pu 3.45, 1 Dy 3.47, 10 Ho 3.47-3.62
Ho 0.7518 0.8296 0.3346  1 Pu 3.45, 1 Dy 3.47, 10 Ho 3.47-3.62
Pu 0.0000 0.4999 0.4999  10 Ho 3.45-3.59, 2 Dy 3.59

Values from the calculation:
total DFT energy (no corrections) = -5.1657 eV per atom
crystal system = orthorhombic
volume = 498.16 Å³/cell
calculated formation energy = 0.023 eV per atom

This record from Alexandria describes an optimized crystal structure of Dy6Ho4Pu. The functional is PBE.

Cell lengths 11.6574, 11.6574, 17.2523 Å; angles 90.00, 90.00, 162.70 degrees
With the nearest neighbours (Å) after each atom.
Fractional coordinates of all 22 atoms:
Dy 0.0000 0.0000 0.0000  6 Dy 3.29-3.51, 6 Ho 3.57-3.64
Dy 0.0000 0.0000 0.5000  6 Dy 3.29-3.51, 6 Ho 3.57-3.64
Dy 0.2514 0.7486 0.7500  2 Pu 3.36, 6 Dy 3.38-3.51, 2 Ho 3.61
Dy 0.2586 0.7414 0.0827  6 Dy 3.37-3.51, 5 Ho 3.43-3.50
Dy 0.2586 0.7414 0.4173  6 Dy 3.37-3.51, 5 Ho 3.43-3.50
Dy 0.4888 0.5112 0.6606  3 Dy 3.08-3.29, 1 Ho 3.35
Dy 0.4888 0.5112 0.8394  3 Dy 3.08-3.29, 1 Ho 3.35
Dy 0.5112 0.4888 0.1606  3 Dy 3.08-3.29, 1 Ho 3.35
Dy 0.5112 0.4888 0.3394  3 Dy 3.08-3.29, 1 Ho 3.35
Dy 0.7414 0.2586 0.5827  6 Dy 3.37-3.51, 5 Ho 3.43-3.50
Dy 0.7414 0.2586 0.9173  6 Dy 3.37-3.51, 5 Ho 3.43-3.50
Dy 0.7486 0.2514 0.2500  2 Pu 3.36, 6 Dy 3.38-3.51, 2 Ho 3.61
Ho 0.1182 0.8818 0.6402  6 Dy 3.48-3.64, 5 Ho 3.51-3.79
Ho 0.1182 0.8818 0.8598  6 Dy 3.48-3.64, 5 Ho 3.51-3.79
Ho 0.3703 0.6297 0.5486  6 Dy 3.35-3.57, 4 Ho 3.51-3.71
Ho 0.3703 0.6297 0.9514  6 Dy 3.35-3.57, 4 Ho 3.51-3.71
Ho 0.6297 0.3703 0.0486  6 Dy 3.35-3.57, 4 Ho 3.51-3.71
Ho 0.6297 0.3703 0.4514  6 Dy 3.35-3.57, 4 Ho 3.51-3.71
Ho 0.8818 0.1182 0.1402  6 Dy 3.48-3.64, 5 Ho 3.51-3.79
Ho 0.8818 0.1182 0.3598  6 Dy 3.48-3.64, 5 Ho 3.51-3.79
Pu 0.1245 0.8755 0.2500  6 Dy 3.36-3.50, 2 Pu 3.51
Pu 0.8755 0.1245 0.7500  6 Dy 3.36-3.50, 2 Pu 3.51

Values from the calculation:
total DFT energy (no corrections) = -5.3095 eV per atom
crystal system = orthorhombic
volume = 697.30 Å³/cell
calculated formation energy = 0.168 eV per atom

This record from Alexandria describes an optimized crystal structure of Dy8Ho2Pu. The functional is PBE.

Cell lengths 9.3331, 9.3331, 7.8846 Å; angles 104.70, 104.70, 30.92 degrees
With the nearest neighbours (Å) after each atom.
Fractional coordinates of all 11 atoms:
Dy 0.0445 0.0445 0.2304  9 Dy 3.49-3.56, 2 Pu 3.50, 1 Ho 3.56
Dy 0.1357 0.1357 0.6801  7 Dy 3.49-3.57, 2 Pu 3.51, 3 Ho 3.53-3.54
Dy 0.3201 0.3201 0.5915  1 Pu 3.50, 8 Dy 3.51-3.57, 3 Ho 3.54
Dy 0.4096 0.4096 0.0492  1 Pu 3.50, 8 Dy 3.51-3.56, 3 Ho 3.52-3.53
Dy 0.5904 0.5904 0.9508  1 Pu 3.50, 8 Dy 3.51-3.56, 3 Ho 3.52-3.53
Dy 0.6799 0.6799 0.4085  1 Pu 3.50, 8 Dy 3.51-3.57, 3 Ho 3.54
Dy 0.8643 0.8643 0.3199  7 Dy 3.49-3.57, 2 Pu 3.51, 3 Ho 3.53-3.54
Dy 0.9555 0.9555 0.7696  9 Dy 3.49-3.56, 2 Pu 3.50, 1 Ho 3.56
Ho 0.2272 0.2272 0.1358  2 Ho 3.52, 10 Dy 3.52-3.56
Ho 0.7728 0.7728 0.8642  2 Ho 3.52, 10 Dy 3.52-3.56
Pu 0.5000 0.5000 0.5000  12 Dy 3.50-3.51

Values from the calculation:
total DFT energy (no corrections) = -5.4381 eV per atom
polymorph energy (0 for the lowest one) = 0 meV/atom
crystal system = monoclinic
volume = 340.41 Å³/cell
calculated formation energy = 0.044 eV per atom

This record from Alexandria describes an optimized crystal structure of DyHo2Pu. The functional is PBE.

Cell lengths 5.5599, 5.5599, 5.5599 Å; angles 60.00, 60.00, 60.00 degrees
With the nearest neighbours (Å) after each atom.
Fractional coordinates of all 4 atoms:
Dy 0.0000 0.0000 0.0000  8 Ho 3.40
Ho 0.2500 0.2500 0.2500  4 Dy 3.40, 4 Pu 3.40
Ho 0.7500 0.7500 0.7500  4 Dy 3.40, 4 Pu 3.40
Pu 0.5000 0.5000 0.5000  8 Ho 3.40

Values from the calculation:
total DFT energy (no corrections) = -6.8307 eV per atom
polymorph energy (0 for the lowest one) = 101 meV/atom
crystal system = cubic
volume = 121.53 Å³/cell
calculated formation energy = 0.192 eV per atom

This record from Alexandria describes an optimized crystal structure of Dy2Ho6Pu. The functional is PBE.

Cell lengths 3.4861, 8.4957, 9.6308 Å; angles 76.29, 88.20, 89.83 degrees
With the nearest neighbours (Å) after each atom.
Fractional coordinates of all 9 atoms:
Dy 0.2301 0.1780 0.3887  1 Pu 3.31, 6 Ho 3.46-3.69, 3 Dy 3.49-3.61
Dy 0.7699 0.8220 0.6113  1 Pu 3.31, 6 Ho 3.46-3.69, 3 Dy 3.49-3.61
Ho 0.2051 0.8135 0.2853  1 Pu 3.15, 6 Ho 3.41-3.53, 2 Dy 3.46-3.47
Ho 0.2574 0.4792 0.8478  1 Pu 3.39, 9 Ho 3.47-3.63, 2 Dy 3.67-3.69
Ho 0.2585 0.8590 0.9235  10 Ho 3.41-3.63, 2 Dy 3.53-3.58
Ho 0.7415 0.1410 0.0765  10 Ho 3.41-3.63, 2 Dy 3.53-3.58
Ho 0.7426 0.5208 0.1522  1 Pu 3.39, 9 Ho 3.47-3.63, 2 Dy 3.67-3.69
Ho 0.7949 0.1865 0.7147  1 Pu 3.15, 6 Ho 3.41-3.53, 2 Dy 3.46-3.47
Pu 0.5000 0.5000 0.5000  4 Ho 3.15-3.39, 2 Dy 3.31, 2 Pu 3.49

Values from the calculation:
total DFT energy (no corrections) = -5.5886 eV per atom
polymorph energy (0 for the lowest one) = 0 meV/atom
crystal system = triclinic
volume = 276.97 Å³/cell
calculated formation energy = 0.078 eV per atom